# BeSb4Rh PBE-GGA optimized geometry
# Fermi-level density of states: 1.141 states/eV/atom
# spin magnetization: 0.1092 μB/atom
# uncorrected energy: -85.5 eV for the cell shown
# formation energy without anion corrections: 23.77 kcal/mol of atoms
data_BeSb4Rh
_chemical_formula_sum 'Be4 Sb16 Rh4'
_space_group_name_H-M_alt 'F -4 3 m'
_space_group_IT_number 216
_space_group_name_Hall 'F -4 2 3'
_cell_length_a 8.521
_cell_length_b 8.521
_cell_length_c 8.521
_cell_angle_alpha 90.00
_cell_angle_beta 90.00
_cell_angle_gamma 90.00
loop_
_atom_site_label
_atom_site_type_symbol
_atom_site_fract_x
_atom_site_fract_y
_atom_site_fract_z
_atom_site_occupancy
Be1 Be 0.000 0.000 0.000 1
Sb1 Sb 0.126 0.126 0.374 1
Rh1 Rh 0.250 0.250 0.750 1